No. 1
The following is a DFT calculation (PBE) of a relaxed structure of Ag2PbBr.

Results
energy above the most stable polymorph in this dataset	193.9	meV/atom
ΔE_f (raw)	0.11	eV per atom
DFT total energy	-2.657	eV per atom
spin magnetization	0.000	μB/cell
V	100	Å³/cell

Unit cell a=4.373 b=4.373 c=5.213 alpha=90.00 beta=90.00 gamma=90.00
Element x y z (fractional)
Ag: 0.000 0.500 0.000
Ag: 0.500 0.000 0.000
Pb: 0.000 0.000 0.500
Br: 0.500 0.500 0.500

***

No. 2
The following is a DFT calculation (PBE) of a relaxed structure of AgPb5Br12.

Results
ΔE_f (raw)	-0.78	eV per atom
DFT total energy	-3.085	eV per atom
spin magnetization	0.907	μB/cell
V	705	Å³/cell

Unit cell a=7.681 b=7.681 c=13.717 alpha=91.05 beta=91.05 gamma=119.32
Element x y z (fractional)
Ag: 0.000 0.000 0.000
Pb: 0.166 0.834 0.500
Pb: 0.343 0.657 0.000
Pb: 0.500 0.500 0.500
Pb: 0.657 0.343 0.000
Pb: 0.834 0.166 0.500
Br: 0.013 0.297 0.107
Br: 0.161 0.161 0.377
Br: 0.173 0.507 0.624
Br: 0.297 0.013 0.107
Br: 0.349 0.349 0.872
Br: 0.493 0.827 0.376
Br: 0.507 0.173 0.624
Br: 0.651 0.651 0.128
Br: 0.703 0.987 0.893
Br: 0.827 0.493 0.376
Br: 0.839 0.839 0.623
Br: 0.987 0.703 0.893

***

No. 3
The following is a DFT calculation (PBE) of a relaxed structure of Ag2PbBr.

Results
energy above the most stable polymorph in this dataset	118.3	meV/atom
ΔE_f (raw)	0.04	eV per atom
DFT total energy	-2.733	eV per atom
spin magnetization	0.000	μB/cell
V	96	Å³/cell

Unit cell a=3.561 b=3.561 c=7.560 alpha=90.00 beta=90.00 gamma=90.00
Element x y z (fractional)
Ag: 0.000 0.000 0.248
Ag: 0.000 0.000 0.752
Pb: 0.500 0.500 0.500
Br: 0.500 0.500 0.000

***

No. 4
The following is a DFT calculation (PBE) of a relaxed structure of Ag3Pb4Br12.

Results
ΔE_f (raw)	-0.64	eV per atom
DFT total energy	-2.925	eV per atom
spin magnetization	0.002	μB/cell
V	698	Å³/cell

Unit cell a=9.680 b=9.680 c=9.680 alpha=109.47 beta=109.47 gamma=109.47
Element x y z (fractional)
Ag: 0.000 0.500 0.500
Ag: 0.500 0.000 0.500
Ag: 0.500 0.500 0.000
Pb: 0.000 0.000 0.500
Pb: 0.000 0.500 0.000
Pb: 0.500 0.000 0.000
Pb: 0.500 0.500 0.500
Br: 0.154 0.325 0.829
Br: 0.171 0.496 0.325
Br: 0.171 0.846 0.675
Br: 0.325 0.171 0.496
Br: 0.325 0.829 0.154
Br: 0.496 0.325 0.171
Br: 0.504 0.675 0.829
Br: 0.675 0.171 0.846
Br: 0.675 0.829 0.504
Br: 0.829 0.154 0.325
Br: 0.829 0.504 0.675
Br: 0.846 0.675 0.171

***

No. 5
The following is a DFT calculation (PBE) of a relaxed structure of Ag2PbBr.

Results
energy above the most stable polymorph in this dataset	366.8	meV/atom
ΔE_f (raw)	0.29	eV per atom
DFT total energy	-2.484	eV per atom
spin magnetization	0.000	μB/cell
V	100	Å³/cell

Unit cell a=5.205 b=5.205 c=5.205 alpha=60.00 beta=60.00 gamma=60.00
Element x y z (fractional)
Ag: 0.250 0.250 0.250
Ag: 0.750 0.750 0.750
Pb: 0.000 0.000 0.000
Br: 0.500 0.500 0.500

***

No. 6
The following is a DFT calculation (PBE) of a relaxed structure of Ag2PbBr.

Results
energy above the most stable polymorph in this dataset	2.8	meV/atom
ΔE_f (raw)	-0.08	eV per atom
DFT total energy	-2.848	eV per atom
spin magnetization	0.000	μB/cell
V	97	Å³/cell

Unit cell a=3.594 b=3.594 c=7.487 alpha=90.00 beta=90.00 gamma=90.00
Element x y z (fractional)
Ag: 0.000 0.000 0.000
Ag: 0.500 0.500 0.186
Pb: 0.500 0.500 0.755
Br: 0.000 0.000 0.411

***

No. 7
The following is a DFT calculation (PBE) of a relaxed structure of AgPb2Br6.

Results
energy above the most stable polymorph in this dataset	3.6	meV/atom
ΔE_f (raw)	-0.64	eV per atom
DFT total energy	-2.895	eV per atom
spin magnetization	0.000	μB/cell
V	638	Å³/cell

Unit cell a=6.948 b=6.948 c=13.208 alpha=90.00 beta=90.00 gamma=90.00
Element x y z (fractional)
Ag: 0.000 0.000 0.000
Ag: 0.500 0.500 0.500
Pb: 0.000 0.000 0.334
Pb: 0.000 0.000 0.666
Pb: 0.500 0.500 0.166
Pb: 0.500 0.500 0.834
Br: 0.193 0.193 0.153
Br: 0.193 0.193 0.847
Br: 0.205 0.205 0.500
Br: 0.295 0.705 0.000
Br: 0.307 0.693 0.347
Br: 0.307 0.693 0.653
Br: 0.693 0.307 0.347
Br: 0.693 0.307 0.653
Br: 0.705 0.295 0.000
Br: 0.795 0.795 0.500
Br: 0.807 0.807 0.153
Br: 0.807 0.807 0.847

***

No. 8
The following is a DFT calculation (PBE) of a relaxed structure of AgPb4Br.

Results
ΔE_f (raw)	0.20	eV per atom
DFT total energy	-3.024	eV per atom
spin magnetization	0.000	μB/cell
V	192	Å³/cell

Unit cell a=6.470 b=6.470 c=6.470 alpha=60.00 beta=60.00 gamma=60.00
Element x y z (fractional)
Ag: 0.000 0.000 0.000
Pb: 0.374 0.374 0.374
Pb: 0.374 0.374 0.878
Pb: 0.374 0.878 0.374
Pb: 0.878 0.374 0.374
Br: 0.750 0.750 0.750

***

No. 9
The following is a DFT calculation (PBE) of a relaxed structure of Ag4PbBr8.

Results
ΔE_f (raw)	-0.38	eV per atom
DFT total energy	-2.570	eV per atom
spin magnetization	0.005	μB/cell
V	396	Å³/cell

Unit cell a=8.318 b=8.318 c=8.318 alpha=58.84 beta=58.84 gamma=58.84
Element x y z (fractional)
Ag: 0.000 0.000 0.000
Ag: 0.000 0.500 0.500
Ag: 0.500 0.000 0.500
Ag: 0.500 0.500 0.000
Pb: 0.500 0.500 0.500
Br: 0.241 0.757 0.757
Br: 0.243 0.243 0.759
Br: 0.243 0.759 0.243
Br: 0.269 0.269 0.269
Br: 0.731 0.731 0.731
Br: 0.757 0.241 0.757
Br: 0.757 0.757 0.241
Br: 0.759 0.243 0.243

***

No. 10
The following is a DFT calculation (PBE) of a relaxed structure of Ag2Pb5Br12.

Results
energy above the most stable polymorph in this dataset	0.0	meV/atom
ΔE_f (raw)	-0.75	eV per atom
DFT total energy	-3.087	eV per atom
spin magnetization	0.000	μB/cell
V	642	Å³/cell

Unit cell a=9.451 b=9.451 c=9.817 alpha=105.03 beta=105.03 gamma=49.85
Element x y z (fractional)
Ag: 0.242 0.758 0.000
Ag: 0.758 0.242 0.000
Pb: 0.000 0.000 0.500
Pb: 0.309 0.309 0.654
Pb: 0.320 0.320 0.157
Pb: 0.680 0.680 0.843
Pb: 0.691 0.691 0.346
Br: 0.014 0.014 0.805
Br: 0.086 0.563 0.902
Br: 0.102 0.600 0.432
Br: 0.400 0.898 0.568
Br: 0.437 0.914 0.098
Br: 0.496 0.496 0.785
Br: 0.504 0.504 0.215
Br: 0.563 0.086 0.902
Br: 0.600 0.102 0.432
Br: 0.898 0.400 0.568
Br: 0.914 0.437 0.098
Br: 0.986 0.986 0.195